1.
MgZrCoRh after structural relaxation. Source: Alexandria, functional PBE-GGA.

The space group is P4mm (No. 99) and the conventional cell measures 3.2111, 3.2111 and 6.1540 Å, with angles of 90.00, 90.00 and 90.00 degrees. Symmetry generates all atoms from Mg at (0.0000, 0.0000, 0.0000), Zr at (0.0000, 0.0000, 0.4829), Co at (0.5000, 0.5000, 0.2521) and Rh at (0.5000, 0.5000, 0.7469).

---

2.
MgZrCoRh after structural relaxation. Source: Alexandria, functional PBE-GGA.

The space group is F-43m (No. 216) and the conventional cell measures 6.3123, 6.3123 and 6.3123 Å, with angles of 90.00, 90.00 and 90.00 degrees. Symmetry generates all atoms from Mg at (0.0000, 0.0000, 0.0000), Zr at (0.0000, 0.0000, 0.5000), Co at (0.2500, 0.2500, 0.2500) and Rh at (0.2500, 0.2500, 0.7500).

---

3.
Mg2CoRu after structural relaxation. Source: Alexandria, functional PBE-GGA.

The space group is Pmmm (No. 47) and the conventional cell measures 3.3951, 4.1546 and 4.2344 Å, with angles of 90.00, 90.00 and 90.00 degrees. Symmetry generates all atoms from Mg at (0.0000, 0.0000, 0.0000), Mg at (0.5000, 0.0000, 0.5000), Co at (0.0000, 0.5000, 0.5000) and Ru at (0.5000, 0.5000, 0.0000).

---

4.
Mg2CoRu after structural relaxation. Source: Alexandria, functional PBE-GGA.

The space group is P4mm (No. 99) and the conventional cell measures 2.9903, 2.9903 and 7.2160 Å, with angles of 90.00, 90.00 and 90.00 degrees. Symmetry generates all atoms from Mg at (0.0000, 0.0000, 0.0000), Mg at (0.5000, 0.5000, 0.3407), Co at (0.5000, 0.5000, 0.7694) and Ru at (0.0000, 0.0000, 0.5872).

---

5.
MgCo4Ru after structural relaxation. Source: Alexandria, functional PBE-GGA.

The space group is F-43m (No. 216) and the conventional cell measures 6.7174, 6.7174 and 6.7174 Å, with angles of 90.00, 90.00 and 90.00 degrees. Symmetry generates all atoms from Mg at (0.0000, 0.0000, 0.0000), Co at (0.1251, 0.1251, 0.6251) and Ru at (0.2500, 0.2500, 0.2500).

---

6.
Mg2CoRu after structural relaxation. Source: Alexandria, functional PBE-GGA.

The space group is R-3m (No. 166, hexagonal axes) and the conventional cell measures 2.8206, 2.8206 and 26.2260 Å, with angles of 90.00, 90.00 and 120.00 degrees. Symmetry generates all atoms from Mg at (0.0000, 0.0000, 0.2484), Co at (0.0000, 0.0000, 0.5000) and Ru at (0.0000, 0.0000, 0.0000).

---

7.
Mg2CoRu after structural relaxation. Source: Alexandria, functional PBE-GGA.

The space group is I4/mmm (No. 139) and the conventional cell measures 3.8649, 3.8649 and 8.0683 Å, with angles of 90.00, 90.00 and 90.00 degrees. Symmetry generates all atoms from Mg at (0.0000, 0.5000, 0.2500), Co at (0.0000, 0.0000, 0.0000) and Ru at (0.0000, 0.0000, 0.5000).

---

8.
Mg3CoRu after structural relaxation. Source: Alexandria, functional PBE-GGA.

The space group is Pm-3m (No. 221) and the conventional cell measures 4.5951, 4.5951 and 4.5951 Å, with angles of 90.00, 90.00 and 90.00 degrees. Symmetry generates all atoms from Mg at (0.0000, 0.0000, 0.5000), Co at (0.0000, 0.0000, 0.0000) and Ru at (0.5000, 0.5000, 0.5000).

---

Respective size of the total moment values: 0.001, 0.000, 0.499, 0.474, 1.305, 0.373, 0.589, 0.363 μB per atom.
Respective VASP energy values: -26.4, -106.0, -18.9, -19.3, -155.5, -56.1, -37.8, -17.0 eV/cell.
Respective formation energy from the elements values: -0.46, -0.47, 0.16, 0.07, 0.07, 0.22, 0.17, 0.84 eV/atom.